! PBE HfZr5Al2, optimized geometry; values from VASP
! uncorrected energy = -7.648 eV per atom
! energy above the most stable polymorph in this dataset = 0.164 eV/atom
! ΔH_f (0 K) = -125 meV per atom
&SYSTEM
  ibrav = 0, nat = 8, ntyp = 3
/
ATOMIC_SPECIES
Hf 178.49 Hf.upf
Zr 91.22 Zr.upf
Al 26.98 Al.upf
ATOMIC_POSITIONS crystal
Hf 0.000 0.000 0.000
Zr 0.000 0.500 0.500
Zr 0.634 0.592 0.139
Zr 0.366 0.408 0.861
Zr 0.366 0.861 0.408
Zr 0.634 0.139 0.592
Al 0.735 0.765 0.765
Al 0.265 0.235 0.235
CELL_PARAMETERS angstrom
3.175 0.000 0.000
1.587 7.396 -0.626
1.587 1.628 7.242